A relaxed structure of AcBeS2, computed with GGA-PBE.

The calculation puts the uncorrected formation energy at -1.10 eV per atom. Its space group is R-3m (166).

```
AcBeS2
1.0
4.371 0.000 0.000
2.185 3.785 0.000
2.185 1.262 7.149
S Be Ac
2 1 1
Direct
0.912 0.912 0.265
0.088 0.088 0.735
0.000 0.000 0.000
0.500 0.500 0.500
```